{
  "formula": "Cs2K2ZnAs2",
  "functional": "PBE",
  "state": "optimized geometry",
  "sg": "R-3m, No. 166",
  "e_above_lowest_polymorph_ev_per_fu": 0.11,
  "e_tot_ev_per_atom": -2.5019,
  "lattice_angstrom": [[5.1054, 3.4767, 7.3549], [6.3699, -2.5111, 6.7353], [8.9921, 1.5911, 2.9760]],
  "species": ["Cs", "K", "Cs", "As", "As", "Zn", "K"],
  "fractional_positions": [[0.6171, 0.6171, 0.6171], [0.2085, 0.2085, 0.2085], [0.3829, 0.3829, 0.3829], [0.9128, 0.9128, 0.9128], [0.0872, 0.0872, 0.0872], [0.0000, 0.0000, 0.0000], [0.7915, 0.7915, 0.7915]]
}